No. 1
Below is a geometry-optimized ZnIr2Pt structure, with properties calculated at the PBE level.

Properties
Total DFT energy (no corrections)   -6.292 eV/atom

Cell and atoms, written as CIF:
```
data_ZnIr2Pt
_cell_length_a 3.922
_cell_length_b 3.922
_cell_length_c 7.622
_cell_angle_alpha 90.00
_cell_angle_beta 90.00
_cell_angle_gamma 90.00
_symmetry_space_group_name_H-M 'I 4/m m m'
_symmetry_Int_Tables_number 139
_symmetry_space_group_name_Hall '-I 4 2'
loop_
_atom_site_label
_atom_site_type_symbol
_atom_site_fract_x
_atom_site_fract_y
_atom_site_fract_z
Zn1 Zn 0.000 0.000 0.000
Ir1 Ir 0.000 0.500 0.250
Pt1 Pt 0.000 0.000 0.500
```


No. 2
Below is a geometry-optimized CePm6Dy2 structure, with properties calculated at the PBE level.

Properties
Total DFT energy (no corrections)   -4.700 eV/atom

Cell and atoms, written as CIF:
```
data_CePm6Dy2
_cell_length_a 6.293
_cell_length_b 9.879
_cell_length_c 11.373
_cell_angle_alpha 90.00
_cell_angle_beta 121.09
_cell_angle_gamma 90.00
_symmetry_space_group_name_H-M 'P 1 21/c 1'
_symmetry_Int_Tables_number 14
_symmetry_space_group_name_Hall '-P 2ybc'
loop_
_atom_site_label
_atom_site_type_symbol
_atom_site_fract_x
_atom_site_fract_y
_atom_site_fract_z
Ce1 Ce 0.000 0.000 0.000
Pm1 Pm 0.126 0.143 0.482
Pm2 Pm 0.236 0.722 0.848
Pm3 Pm 0.437 0.112 0.302
Dy1 Dy 0.334 0.077 0.848
```


No. 3
Below is a geometry-optimized TbPaRePd structure, with properties calculated at the PBE level.

Properties
Total DFT energy (no corrections)   -8.179 eV/atom

Cell and atoms, written as CIF:
```
data_TbPaRePd
_cell_length_a 6.954
_cell_length_b 6.954
_cell_length_c 6.954
_cell_angle_alpha 90.00
_cell_angle_beta 90.00
_cell_angle_gamma 90.00
_symmetry_space_group_name_H-M 'F -4 3 m'
_symmetry_Int_Tables_number 216
_symmetry_space_group_name_Hall 'F -4 2 3'
loop_
_atom_site_label
_atom_site_type_symbol
_atom_site_fract_x
_atom_site_fract_y
_atom_site_fract_z
Tb1 Tb 0.000 0.000 0.000
Pa1 Pa 0.000 0.000 0.500
Re1 Re 0.250 0.250 0.250
Pd1 Pd 0.250 0.250 0.750
```


Number 1: V 117 Å³/cell, formation enthalpy at 0 K -33 meV per atom. Number 2: V 605 Å³/cell, formation enthalpy at 0 K 149 meV per atom. Number 3: V 336 Å³/cell, formation enthalpy at 0 K -237 meV per atom.